Model A:
Computed, not measured: a relaxed structure of Be3CrW at the PBE level of DFT.

a = 4.278 Å, b = 4.278 Å, c = 4.278 Å
α = 90.00°, β = 90.00°, γ = 90.00°
Last column: magnetic moment on the atom in μB.
Positions (direct):
Cr (0.500, 0.500, 0.500)  -3.57
W (0.000, 0.000, 0.000)  0.33
Be (0.000, 0.500, 0.000)  0.05
Be (0.000, 0.000, 0.500)  0.00
Be (0.500, 0.000, 0.000)  0.06

Symmetry   No. 221
Total magnetic moment   3.3 μB/cell
DOS at the Fermi energy   4.348 states/eV/f.u.
Crystal system   cubic

Model B:
Computed, not measured: a relaxed structure of Be3CrW at the PBE level of DFT.

a = 3.854 Å, b = 3.854 Å, c = 3.854 Å
α = 90.00°, β = 90.00°, γ = 90.00°
Positions (direct):
Cr (0.000, 0.000, 0.000)
W (0.500, 0.500, 0.500)
Be (0.000, 0.500, 0.000)
Be (0.000, 0.000, 0.500)
Be (0.500, 0.000, 0.000)

Symmetry   No. 221
Total magnetic moment   0.0 μB/cell
DOS at the Fermi energy   3.837 states/eV/f.u.
Crystal system   cubic

The structure with the most favorable energy is model B; the runner-up is 0.304 eV/atom above it.

Model A:
Computed, not measured: a relaxed structure of BeZnCr at the PBE level of DFT.

a = 4.021 Å, b = 4.021 Å, c = 4.021 Å
α = 60.00°, β = 60.00°, γ = 60.00°
Last column: magnetic moment on the atom in μB.
Positions (direct):
Cr (0.750, 0.750, 0.750)  2.92
Zn (0.000, 0.000, 0.000)  0.01
Be (0.500, 0.500, 0.500)  -0.03

Symmetry   No. 216
Total magnetic moment   3.1 μB/cell
DOS at the Fermi energy   2.352 states/eV/f.u.
Crystal system   cubic

Model B:
Computed, not measured: a relaxed structure of BeZnCr at the PBE level of DFT.

a = 2.535 Å, b = 2.535 Å, c = 6.248 Å
α = 90.00°, β = 90.00°, γ = 120.00°
Positions (direct):
Cr (0.667, 0.333, 0.316)
Zn (0.333, 0.667, 0.674)
Be (0.000, 0.000, 0.010)

Symmetry   No. 156
Total magnetic moment   0.0 μB/cell
DOS at the Fermi energy   1.761 states/eV/f.u.
Crystal system   trigonal

The structure with the most favorable energy is model B; the runner-up is 0.586 eV/atom above it.

Model A:
Computed, not measured: a relaxed structure of BeZnCr at the PBE level of DFT.

a = 5.895 Å, b = 5.895 Å, c = 5.895 Å
α = 156.01°, β = 156.01°, γ = 34.19°
Positions (direct):
Cr (0.344, 0.344, 0.000)
Zn (0.660, 0.660, 0.000)
Be (0.996, 0.996, 0.000)

Symmetry   No. 107
Total magnetic moment   0.0 μB/cell
DOS at the Fermi energy   1.836 states/eV/f.u.
Crystal system   tetragonal

Model B:
Computed, not measured: a relaxed structure of BeZnCr at the PBE level of DFT.

a = 6.083 Å, b = 5.985 Å, c = 2.447 Å
α = 80.56°, β = 76.06°, γ = 23.38°
Positions (direct):
Cr (0.344, 0.344, 0.656)
Zn (0.661, 0.661, 0.339)
Be (0.995, 0.995, 0.005)

Symmetry   No. 42
Total magnetic moment   0.0 μB/cell
DOS at the Fermi energy   1.503 states/eV/f.u.
Crystal system   orthorhombic

The structure with the most favorable energy is model B; the runner-up is 0.008 eV/atom above it.